Entry 1:
A plane-wave DFT calculation with PBEsol was carried out for SrFeW2 after structural relaxation.

Theoretical density: 12.3 g/cm3
Formation enthalpy at 0 K: 1.1588 eV/atom
Energy above the lowest structure with this stoichiometry: 0.0 meV per atom
Crystal system: cubic
N(E_F): 0.9261 states/eV per atom
Total magnetization: 2.08 μB per cell
Total energy: -0.621 Ry per atom

POSCAR file:
```
SrFeW2
1.0
4.6047 0.0000 0.0000
2.3024 3.9878 0.0000
2.3024 1.3293 3.7597
Fe W Sr
1 2 1
Direct
0.5000 0.5000 0.5000
0.0000 0.0000 0.0000
0.7500 0.7500 0.7500
0.2500 0.2500 0.2500
```

***

Entry 2:
A plane-wave DFT calculation with PBEsol was carried out for SrFeW2 after structural relaxation.

Theoretical density: 11.8 g/cm3
Formation enthalpy at 0 K: 1.3704 eV/atom
Energy above the lowest structure with this stoichiometry: 211.5 meV per atom
Crystal system: tetragonal
N(E_F): 1.4817 states/eV per atom
Total magnetization: 1.98 μB per cell
Total energy: -0.605 Ry per atom

POSCAR file:
```
SrFeW2
1.0
-3.1949 1.9274 0.6593
-1.4529 -1.2965 -3.2504
-1.8855 -3.9533 2.4196
Fe Sr W
1 1 2
Direct
0.5000 0.5000 0.5000
0.0000 0.0000 0.5000
0.0000 0.5000 0.0000
0.5000 0.0000 0.0000
```

***

Entry 3:
A plane-wave DFT calculation with PBEsol was carried out for SrY2Fe after structural relaxation.

Theoretical density: 4.6 g/cm3
Formation enthalpy at 0 K: 0.3363 eV/atom
Energy above the lowest structure with this stoichiometry: 51.4 meV per atom
Crystal system: monoclinic
N(E_F): 1.0421 states/eV per atom
Total magnetization: 0.30 μB per cell
Total energy: -0.425 Ry per atom

POSCAR file:
```
SrY2Fe
1.0
-1.9040 -1.5534 -2.6737
-4.7084 -2.9781 2.6171
-5.6504 2.7977 -0.0677
Fe Sr Y
1 1 2
Direct
0.5370 0.6265 0.2995
0.8082 0.6378 0.7458
0.9853 0.9499 0.0794
0.1695 0.2858 0.3752
```

***

Entry 4:
A plane-wave DFT calculation with PBEsol was carried out for SrY2Fe after structural relaxation.

Theoretical density: 4.9 g/cm3
Formation enthalpy at 0 K: 0.6707 eV/atom
Energy above the lowest structure with this stoichiometry: 385.8 meV per atom
Crystal system: cubic
N(E_F): 2.3061 states/eV per atom
Total magnetization: 1.84 μB per cell
Total energy: -0.400 Ry per atom

POSCAR file:
```
SrY2Fe
1.0
5.3470 0.0000 0.0000
2.6735 4.6306 0.0000
2.6735 1.5435 4.3658
Y Fe Sr
2 1 1
Direct
0.0000 0.0000 0.0000
0.7500 0.7500 0.7500
0.5000 0.5000 0.5000
0.2500 0.2500 0.2500
```

***

Entry 5:
A plane-wave DFT calculation with PBEsol was carried out for SrY2Fe after structural relaxation.

Theoretical density: 4.6 g/cm3
Formation enthalpy at 0 K: 0.3221 eV/atom
Energy above the lowest structure with this stoichiometry: 37.2 meV per atom
Crystal system: tetragonal
N(E_F): 1.4607 states/eV per atom
Total magnetization: 1.69 μB per cell
Total energy: -0.426 Ry per atom

POSCAR file:
```
SrY2Fe
1.0
3.7196 0.0000 0.0000
0.0000 3.7196 0.0000
0.0000 0.0000 8.2948
Y Sr Fe
2 1 1
Direct
0.0000 0.0000 0.0556
0.5000 0.5000 0.3108
0.5000 0.5000 0.7042
0.0000 0.0000 0.4294
```

***

Entry 6:
A plane-wave DFT calculation with PBEsol was carried out for SrYFe after structural relaxation.

Theoretical density: 4.5 g/cm3
Formation enthalpy at 0 K: 0.5552 eV/atom
Crystal system: trigonal
N(E_F): 1.2694 states/eV per atom
Total magnetization: 1.12 μB per cell
Total energy: -0.391 Ry per atom

POSCAR file:
```
SrYFe
1.0
3.7692 0.0000 0.0000
-1.8846 3.2642 0.0000
0.0000 0.0000 6.9795
Sr Y Fe
1 1 1
Direct
0.3333 0.6667 0.7358
0.6667 0.3333 0.2435
0.0000 0.0000 0.0207
```